Record 1
Here is an optimized crystal structure of Ba2Ag4SnHg3 from Alexandria. Energies are from PBE-GGA.

Properties
Density = 8.53 g cm⁻³
Final energy = -22.88 eV/cell
ΔE_f = -6.27 kcal/mol of atoms
Total magnetic moment = 0.00 μB per cell
Space-group type = P-4m2, No. 115

a = 4.863 Å, b = 4.863 Å, c = 11.738 Å
α = 90.00°, β = 90.00°, γ = 90.00°
Atoms (fractional coordinates):
1 Sn 0.500 0.500 0.500
2 Ag 0.500 0.500 0.000
3 Hg 0.000 0.000 0.500
4 Hg 0.000 0.500 0.131
5 Ag 0.500 0.000 0.631
6 Ag 0.000 0.500 0.369
7 Ag 0.000 0.000 0.000
8 Ba 0.000 0.500 0.750
9 Hg 0.500 0.000 0.869
10 Ba 0.500 0.000 0.250

=====

Record 2
Here is an optimized crystal structure of Li2Dy5Sn4 from Alexandria. Energies are from PBE-GGA.

Properties
Density = 7.33 g cm⁻³
Final energy = -47.18 eV/cell
ΔE_f = -9.07 kcal/mol of atoms
Total magnetic moment = 0.00 μB per cell
Space-group type = Immm, No. 71

a = 3.572 Å, b = 8.332 Å, c = 10.887 Å
α = 112.48°, β = 99.44°, γ = 90.00°
Atoms (fractional coordinates):
1 Sn 0.000 0.313 0.000
2 Dy 0.844 0.632 0.689
3 Sn 0.000 0.687 0.000
4 Li 0.579 0.579 0.157
5 Dy 0.156 0.943 0.311
6 Sn 0.714 0.714 0.429
7 Sn 0.286 0.286 0.571
8 Dy 0.500 0.000 0.000
9 Dy 0.156 0.368 0.311
10 Li 0.421 0.421 0.843
11 Dy 0.844 0.057 0.689

=====

Record 3
Here is an optimized crystal structure of Ta2BeV from Alexandria. Energies are from PBE-GGA.

Properties
Density = 11.28 g cm⁻³
Final energy = -35.20 eV/cell
ΔE_f = 7.79 kcal/mol of atoms
Total magnetic moment = 0.00 μB per cell
Space-group type = R-3m, No. 166

a = 2.947 Å, b = 2.947 Å, c = 8.431 Å
α = 79.94°, β = 79.94°, γ = 60.00°
Atoms (fractional coordinates):
1 Be 0.000 0.000 0.000
2 V 0.500 0.500 0.500
3 Ta 0.743 0.743 0.770
4 Ta 0.257 0.257 0.230

=====

Record 4
Here is an optimized crystal structure of NbCd2FeRu from Alexandria. Energies are from PBE-GGA.

Properties
Density = 7.07 g cm⁻³
Final energy = -23.03 eV/cell
ΔE_f = 30.50 kcal/mol of atoms
Total magnetic moment = 4.85 μB per cell
Space-group type = P4/mmm, No. 123

a = 5.064 Å, b = 4.349 Å, c = 5.064 Å
α = 90.00°, β = 90.00°, γ = 90.00°
Atoms (fractional coordinates):
1 Ru 0.000 0.000 0.000
2 Fe 0.000 0.500 0.000
3 Cd 0.500 0.000 0.000
4 Nb 0.500 0.500 0.500
5 Cd 0.000 0.000 0.500